{"formula": "Cr5Cd3", "functional": "PBE-GGA", "state": "relaxed", "lattice_angstrom": [[4.357, 0.000, 0.000], [0.000, 7.257, 4.196], [0.000, -7.257, 4.196]], "species": ["Cr", "Cr", "Cr", "Cr", "Cr", "Cr", "Cr", "Cr", "Cr", "Cr", "Cd", "Cd", "Cd", "Cd", "Cd", "Cd"], "fractional_positions": [[0.000, 0.000, 0.000], [0.000, 0.158, 0.317], [0.000, 0.317, 0.158], [0.208, 0.492, 0.825], [0.208, 0.825, 0.492], [0.500, 0.159, 0.999], [0.500, 0.317, 0.317], [0.500, 0.999, 0.159], [0.792, 0.492, 0.825], [0.792, 0.825, 0.492], [0.000, 0.158, 0.777], [0.000, 0.540, 0.540], [0.000, 0.777, 0.158], [0.500, 0.159, 0.549], [0.500, 0.549, 0.159], [0.500, 0.769, 0.769]], "volume_a3_per_atom": 16.59, "delta_e_f_ev_per_atom": 0.684, "total_magnetization_mub_per_fu": 0.00, "final_energy_ev_per_cell": -90.8}